Entry 1:
Computed, not measured: a relaxed CsNdAg2Br6 crystal at the GGA-PBE level of DFT.

Results
Space-group type: P1, No. 1
Energy relative to the elements, uncorrected: -1250 meV/atom
ρ: 4015 kg/m3

Unit cell a=7.311 b=7.313 c=9.647 alpha=90.28 beta=110.56 gamma=121.11
Fractional positions:
Br  0.197  0.255  0.782
Br  0.451  0.067  0.165
Br  0.124  0.398  0.163
Br  0.542  0.928  0.796
Br  0.869  0.598  0.797
Br  0.796  0.740  0.178
Ag  0.652  0.333  0.977
Ag  0.340  0.663  0.983
Nd  0.997  0.998  0.980
Cs  0.997  0.498  0.480



Entry 2:
Computed, not measured: a relaxed ZrReTc crystal at the GGA-PBE level of DFT.

Results
Polymorph energy (0 for the lowest one): 0.70 eV/f.u.
Space-group type: C2/m, No. 12
Formation energy from the elements: -0.07 eV/atom
ρ: 11361 kg/m3

Unit cell a=4.208 b=5.420 c=5.657 alpha=76.40 beta=68.16 gamma=67.16
Fractional positions:
Tc  0.340  0.244  0.076
Tc  0.660  0.756  0.924
Zr  0.936  0.814  0.314
Zr  0.064  0.186  0.686
Re  0.662  0.391  0.285
Re  0.338  0.609  0.715



Entry 3:
Computed, not measured: a relaxed Zn5Ag3Hg12 crystal at the GGA-PBE level of DFT.

Results
Space-group type: Ia-3d, No. 230
Formation energy from the elements: 0.17 eV/atom
ρ: 9341 kg/m3

Unit cell a=14.136 b=14.136 c=14.136 alpha=109.47 beta=109.47 gamma=109.47
Fractional positions:
Hg  0.672  0.443  0.574
Hg  0.272  0.403  0.828
Hg  0.131  0.728  0.557
Hg  0.403  0.131  0.574
Hg  0.772  0.328  0.903
Hg  0.943  0.574  0.172
Hg  0.597  0.728  0.672
Hg  0.903  0.828  0.772
Hg  0.369  0.943  0.772
Hg  0.057  0.631  0.728
Hg  0.828  0.926  0.057
Hg  0.943  0.369  0.272
Hg  0.074  0.172  0.443
Hg  0.926  0.097  0.869
Hg  0.172  0.074  0.943
Hg  0.328  0.772  0.403
Hg  0.403  0.272  0.328
Hg  0.172  0.097  0.728
Hg  0.574  0.631  0.403
Hg  0.074  0.903  0.131
Hg  0.672  0.228  0.597
Hg  0.728  0.597  0.172
Hg  0.426  0.057  0.328
Hg  0.131  0.403  0.074
Hg  0.228  0.672  0.097
Hg  0.328  0.557  0.426
Hg  0.443  0.772  0.869
Hg  0.574  0.943  0.672
Hg  0.369  0.426  0.097
Hg  0.443  0.672  0.074
Hg  0.097  0.926  0.369
Hg  0.869  0.272  0.443
Hg  0.869  0.597  0.926
Hg  0.597  0.869  0.426
Hg  0.557  0.228  0.131
Hg  0.057  0.426  0.828
Hg  0.828  0.903  0.272
Hg  0.728  0.131  0.057
Hg  0.228  0.557  0.631
Hg  0.903  0.074  0.631
Hg  0.557  0.328  0.926
Hg  0.426  0.369  0.597
Hg  0.772  0.443  0.369
Hg  0.272  0.869  0.943
Hg  0.097  0.172  0.228
Hg  0.631  0.057  0.228
Hg  0.926  0.828  0.557
Hg  0.631  0.574  0.903
Zn  0.500  0.500  0.000
Zn  0.375  0.125  0.750
Zn  0.750  0.625  0.375
Zn  0.500  0.500  0.500
Zn  0.125  0.375  0.250
Zn  0.500  0.000  0.000
Zn  0.500  0.000  0.500
Zn  0.000  0.500  0.000
Zn  0.375  0.250  0.125
Zn  0.125  0.750  0.375
Zn  0.250  0.375  0.625
Zn  0.625  0.750  0.875
Zn  0.875  0.625  0.750
Zn  0.000  0.000  0.000
Zn  0.875  0.250  0.625
Zn  0.625  0.875  0.250
Zn  0.250  0.875  0.125
Zn  0.000  0.500  0.500
Zn  0.750  0.125  0.875
Zn  0.000  0.000  0.500
Ag  0.875  0.125  0.250
Ag  0.625  0.375  0.750
Ag  0.875  0.750  0.125
Ag  0.250  0.625  0.875
Ag  0.625  0.250  0.375
Ag  0.125  0.875  0.750
Ag  0.375  0.750  0.625
Ag  0.750  0.375  0.125
Ag  0.375  0.625  0.250
Ag  0.125  0.250  0.875
Ag  0.250  0.125  0.375
Ag  0.750  0.875  0.625



Repeat the third record exactly.
Computed, not measured: a relaxed Zn5Ag3Hg12 crystal at the GGA-PBE level of DFT.

Results
Space-group type: Ia-3d, No. 230
Formation energy from the elements: 0.17 eV/atom
ρ: 9341 kg/m3

Unit cell a=14.136 b=14.136 c=14.136 alpha=109.47 beta=109.47 gamma=109.47
Fractional positions:
Hg  0.672  0.443  0.574
Hg  0.272  0.403  0.828
Hg  0.131  0.728  0.557
Hg  0.403  0.131  0.574
Hg  0.772  0.328  0.903
Hg  0.943  0.574  0.172
Hg  0.597  0.728  0.672
Hg  0.903  0.828  0.772
Hg  0.369  0.943  0.772
Hg  0.057  0.631  0.728
Hg  0.828  0.926  0.057
Hg  0.943  0.369  0.272
Hg  0.074  0.172  0.443
Hg  0.926  0.097  0.869
Hg  0.172  0.074  0.943
Hg  0.328  0.772  0.403
Hg  0.403  0.272  0.328
Hg  0.172  0.097  0.728
Hg  0.574  0.631  0.403
Hg  0.074  0.903  0.131
Hg  0.672  0.228  0.597
Hg  0.728  0.597  0.172
Hg  0.426  0.057  0.328
Hg  0.131  0.403  0.074
Hg  0.228  0.672  0.097
Hg  0.328  0.557  0.426
Hg  0.443  0.772  0.869
Hg  0.574  0.943  0.672
Hg  0.369  0.426  0.097
Hg  0.443  0.672  0.074
Hg  0.097  0.926  0.369
Hg  0.869  0.272  0.443
Hg  0.869  0.597  0.926
Hg  0.597  0.869  0.426
Hg  0.557  0.228  0.131
Hg  0.057  0.426  0.828
Hg  0.828  0.903  0.272
Hg  0.728  0.131  0.057
Hg  0.228  0.557  0.631
Hg  0.903  0.074  0.631
Hg  0.557  0.328  0.926
Hg  0.426  0.369  0.597
Hg  0.772  0.443  0.369
Hg  0.272  0.869  0.943
Hg  0.097  0.172  0.228
Hg  0.631  0.057  0.228
Hg  0.926  0.828  0.557
Hg  0.631  0.574  0.903
Zn  0.500  0.500  0.000
Zn  0.375  0.125  0.750
Zn  0.750  0.625  0.375
Zn  0.500  0.500  0.500
Zn  0.125  0.375  0.250
Zn  0.500  0.000  0.000
Zn  0.500  0.000  0.500
Zn  0.000  0.500  0.000
Zn  0.375  0.250  0.125
Zn  0.125  0.750  0.375
Zn  0.250  0.375  0.625
Zn  0.625  0.750  0.875
Zn  0.875  0.625  0.750
Zn  0.000  0.000  0.000
Zn  0.875  0.250  0.625
Zn  0.625  0.875  0.250
Zn  0.250  0.875  0.125
Zn  0.000  0.500  0.500
Zn  0.750  0.125  0.875
Zn  0.000  0.000  0.500
Ag  0.875  0.125  0.250
Ag  0.625  0.375  0.750
Ag  0.875  0.750  0.125
Ag  0.250  0.625  0.875
Ag  0.625  0.250  0.375
Ag  0.125  0.875  0.750
Ag  0.375  0.750  0.625
Ag  0.750  0.375  0.125
Ag  0.375  0.625  0.250
Ag  0.125  0.250  0.875
Ag  0.250  0.125  0.375
Ag  0.750  0.875  0.625



Please write out number 1 again, unchanged.
Computed, not measured: a relaxed CsNdAg2Br6 crystal at the GGA-PBE level of DFT.

Results
Space-group type: P1, No. 1
Energy relative to the elements, uncorrected: -1250 meV/atom
ρ: 4015 kg/m3

Unit cell a=7.311 b=7.313 c=9.647 alpha=90.28 beta=110.56 gamma=121.11
Fractional positions:
Br  0.197  0.255  0.782
Br  0.451  0.067  0.165
Br  0.124  0.398  0.163
Br  0.542  0.928  0.796
Br  0.869  0.598  0.797
Br  0.796  0.740  0.178
Ag  0.652  0.333  0.977
Ag  0.340  0.663  0.983
Nd  0.997  0.998  0.980
Cs  0.997  0.498  0.480



- Look up the ρ of the first one.
  4015 kg/m3



- Number 1 is which compound?
  CsNdAg2Br6